24
Lattice="18.8923 0.0000 0.0000 0.0000 2.9783 0.0000 0.0000 0.0000 4.7754" Properties=species:S:1:pos:R:3 comment="TiO2, relaxed, DFT PBE" e_form_raw_mev_per_atom=-2985 pbc="T T T"
Ti 1.3215 0.7446 0.3100
Ti 3.5544 2.2338 2.6931
Ti 5.8918 0.7446 0.3054
Ti 8.1246 2.2338 2.6977
Ti 10.7677 0.7446 2.0777
Ti 13.0005 2.2338 4.4700
Ti 15.3380 0.7446 2.0823
Ti 17.5708 2.2338 4.4654
O 0.3248 2.2338 0.9965
O 2.2025 2.2338 4.0299
O 2.6383 0.7446 1.6809
O 4.4969 0.7446 3.4624
O 4.9493 2.2338 1.0747
O 6.8078 2.2338 4.0686
O 7.2437 0.7446 1.6422
O 9.1214 0.7446 3.3842
O 9.7710 2.2338 1.3912
O 11.6487 2.2338 3.1332
O 12.0845 0.7446 0.7068
O 13.9430 0.7446 3.7007
O 14.3955 2.2338 1.3130
O 16.2540 2.2338 3.0945
O 16.6898 0.7446 0.7455
O 18.5675 0.7446 3.7789


6
Lattice="2.9354 0.0000 0.0000 0.0000 4.0617 2.9751 0.0000 -4.0617 2.9751" Properties=species:S:1:pos:R:3 comment="TiO, relaxed, DFT PBE" e_form_raw_mev_per_atom=-2323 pbc="T T T"
Ti 0.0000 0.0000 0.0000
Ti 1.4677 -2.0539 1.5547
Ti 1.4677 2.0539 1.5547
O 0.0000 -1.9420 3.0329
O 0.0000 1.9420 3.0329
O 1.4677 0.0000 4.5210


2
Lattice="2.8273 0.0000 0.0000 -1.4136 2.4485 0.0000 0.0000 0.0000 2.8345" Properties=species:S:1:pos:R:3 comment="TiO, relaxed, DFT PBE" e_form_raw_mev_per_atom=-2460 pbc="T T T"
Ti 0.0000 0.0000 0.0000
O 0.0000 1.6323 1.4173


24
Lattice="9.8256 0.0000 0.0000 0.0000 3.0211 0.0000 0.0000 0.0000 9.8378" Properties=species:S:1:pos:R:3 comment="TiO2, relaxed, DFT PBE" e_form_raw_mev_per_atom=-2953 pbc="T T T"
Ti 0.1548 0.7553 1.4582
Ti 2.0673 0.7553 6.0356
Ti 2.8455 2.2658 1.1167
Ti 4.7580 2.2658 6.3771
Ti 5.0676 0.7553 3.4607
Ti 6.9801 0.7553 8.7211
Ti 7.7584 2.2658 3.8022
Ti 9.6708 2.2658 8.3796
O 0.7290 0.7553 7.5448
O 0.9989 2.2658 0.2873
O 1.4291 2.2658 5.2004
O 1.7906 0.7553 2.2206
O 3.1222 2.2658 7.1395
O 3.4837 0.7553 0.2815
O 3.9139 0.7553 5.2062
O 4.1838 2.2658 2.6259
O 5.6418 0.7553 7.2119
O 5.9117 2.2658 4.6316
O 6.3419 2.2658 9.5563
O 6.7034 0.7553 2.6984
O 8.0350 2.2658 7.6173
O 8.3965 0.7553 4.6374
O 8.8267 0.7553 9.5505
O 9.0966 2.2658 2.2930


3
Lattice="2.9803 0.0000 0.0000 -1.4902 2.5811 0.0000 0.0000 0.0000 4.8087" Properties=species:S:1:pos:R:3 comment="Ti2O, relaxed, DFT PBE" e_form_raw_mev_per_atom=-1804 de_polymorph_mev_per_atom=0 pbc="T T T"
Ti 0.0000 1.7207 1.1207
Ti 1.4902 0.8603 3.6880
O 0.0000 0.0000 2.4044


12
Lattice="0.0000 4.2173 4.2173 4.2173 0.0000 4.2173 4.2173 4.2173 0.0000" Properties=species:S:1:pos:R:3 comment="TiO2, relaxed, DFT PBE" e_form_raw_mev_per_atom=-2857 pbc="T T T"
Ti 0.0000 0.0000 0.0000
Ti 2.1087 2.1087 0.0000
Ti 2.1087 0.0000 2.1087
Ti 0.0000 2.1087 2.1087
O 6.4588 4.0846 4.0846
O 1.9759 1.9759 1.9759
O 4.3501 4.3501 1.9759
O 4.3501 1.9759 4.3501
O 4.0846 6.4588 4.0846
O 4.0846 4.0846 6.4588
O 6.4588 6.4588 6.4588
O 1.9759 4.3501 4.3501


12
Lattice="4.0039 -6.2708 0.0000 4.0039 6.2708 0.0000 0.0000 0.0000 3.0090" Properties=species:S:1:pos:R:3 comment="TiO2, relaxed, DFT PBE" e_form_raw_mev_per_atom=-2931 pbc="T T T"
Ti 4.0039 4.4885 0.0000
Ti 2.1999 0.0000 1.5136
Ti 5.8078 0.0000 1.5136
Ti 4.0039 -4.4885 0.0000
O 0.0000 0.0000 1.5239
O 1.8775 1.2611 0.0099
O 4.0039 3.4669 1.5079
O 1.8775 -1.2611 0.0099
O 4.0039 0.0000 1.5135
O 6.1302 1.2611 0.0099
O 4.0039 -3.4669 1.5079
O 6.1302 -1.2611 0.0099


6
Lattice="3.5243 0.0000 0.0000 -1.7622 3.0522 0.0000 0.0000 0.0000 11.1074" Properties=species:S:1:pos:R:3 comment="TiO2, relaxed, DFT PBE" e_form_raw_mev_per_atom=-327 pbc="T T T"
Ti 0.0000 2.0348 2.7769
Ti 1.7622 1.0174 8.3306
O 0.0000 2.0348 1.0619
O 0.0000 2.0348 4.4918
O 1.7622 1.0174 6.6156
O 1.7622 1.0174 10.0455


4
Lattice="2.8545 0.0000 0.0000 -1.4272 2.4720 0.0000 0.0000 0.0000 5.5546" Properties=species:S:1:pos:R:3 comment="TiO, relaxed, DFT PBE" e_form_raw_mev_per_atom=-2425 pbc="T T T"
Ti 0.0000 1.6480 1.3886
Ti 1.4272 0.8240 4.1659
O 0.0000 0.0000 0.0000
O 0.0000 0.0000 2.7773


24
Lattice="5.1540 0.0000 0.0000 -2.5770 4.4635 0.0000 0.0000 0.0000 14.2921" Properties=species:S:1:pos:R:3 comment="Ti3O, relaxed, DFT PBE" e_form_raw_mev_per_atom=-1390 pbc="T T T"
Ti 4.2803 1.5093 3.6508
Ti 4.2831 1.5075 13.1680
Ti 3.4472 2.9522 10.6413
Ti 3.4471 2.9555 1.1241
Ti -0.8315 1.4857 8.4088
Ti -1.7061 3.0005 5.8833
Ti 0.8315 1.4857 5.8833
Ti -0.8746 4.4407 8.4088
Ti 1.7410 0.0004 13.1680
Ti 0.8708 1.5075 1.1241
Ti 1.7439 0.0020 3.6508
Ti 0.8737 1.5093 10.6413
Ti 3.4130 0.0004 1.1241
Ti 3.4101 0.0020 10.6413
Ti 1.7068 2.9522 3.6508
Ti 1.7068 2.9555 13.1680
Ti 1.7061 3.0005 8.4088
Ti 0.8746 4.4407 5.8833
O 0.0000 0.0000 7.1461
O 0.0000 2.9756 2.3836
O 0.0000 2.9756 7.1461
O 0.0000 2.9756 11.9086
O 2.5770 1.4878 2.3863
O 2.5770 1.4878 11.9059


24
Lattice="4.8447 0.0000 0.0000 0.0000 9.4408 0.0000 0.0000 0.0000 4.9885" Properties=species:S:1:pos:R:3 comment="TiO2, relaxed, DFT PBE" e_form_raw_mev_per_atom=-2918 pbc="T T T"
Ti 1.2132 1.0855 0.2096
Ti 1.2132 3.6349 2.7038
Ti 1.2091 5.8059 0.2096
Ti 1.2091 8.3554 2.7038
Ti 3.6355 1.0855 2.2847
Ti 3.6355 3.6349 4.7790
Ti 3.6315 5.8059 2.2847
Ti 3.6315 8.3554 4.7790
O 0.0187 0.2338 3.6790
O 0.0187 4.4866 1.1847
O 0.6708 6.7185 1.8716
O 0.6708 7.4427 4.3659
O 1.7515 1.9981 1.8716
O 1.7515 2.7223 4.3659
O 2.4036 4.9542 3.6790
O 2.4036 9.2070 1.1847
O 2.4411 0.2338 3.8038
O 2.4411 4.4866 1.3095
O 3.0931 6.7185 0.6226
O 3.0931 7.4427 3.1169
O 4.1739 1.9981 0.6226
O 4.1739 2.7223 3.1169
O 4.8259 4.9542 3.8038
O 4.8259 9.2070 1.3095


8
Lattice="-4.0867 4.0867 1.5754 4.0867 -4.0867 1.5754 4.0867 4.0867 -1.5754" Properties=species:S:1:pos:R:3 comment="TiO, relaxed, DFT PBE" e_form_raw_mev_per_atom=-2367 pbc="T T T"
Ti 5.5038 0.9477 0.0000
Ti 0.9477 2.6696 0.0000
Ti 3.1389 1.4171 1.5754
Ti -1.4171 3.1389 1.5754
O 1.9311 0.8854 0.0000
O 3.2012 -2.1556 1.5754
O 0.8854 6.2422 0.0000
O 2.1556 3.2012 1.5754


10
Lattice="5.0244 -2.9073 0.0000 5.0244 2.9073 0.0000 -4.9568 0.0000 5.3879" Properties=species:S:1:pos:R:3 comment="Ti3TlO, relaxed, DFT PBE" e_form_raw_mev_per_atom=-941 pbc="T T T"
Ti 0.0000 0.0000 0.0000
Ti 2.3440 1.4903 0.9427
Ti -2.4730 0.0000 3.6895
Ti 5.0615 1.4528 2.5790
Ti 2.3440 -1.4903 0.9427
Ti 5.0615 -1.4528 2.5790
Tl -0.1500 0.0000 5.2342
Tl 2.6517 0.0000 3.5794
O -1.1842 0.0000 1.7146
O 6.3928 0.0000 2.1288


5
Lattice="5.4928 0.0000 0.0000 0.0000 5.4928 0.0000 0.0000 0.0000 5.4928" Properties=species:S:1:pos:R:3 comment="TiTl3O, relaxed, DFT PBE" e_form_raw_mev_per_atom=777 de_polymorph_mev_per_atom=508 pbc="T T T"
Ti 0.0000 0.0000 0.0000
Tl 0.0000 0.0000 2.7464
Tl 0.0000 2.7464 0.0000
Tl 2.7464 0.0000 0.0000
O 2.7464 2.7464 2.7464


24
Lattice="3.0361 -5.8897 0.0000 3.0361 5.8897 0.0000 0.0000 0.0000 13.5241" Properties=species:S:1:pos:R:3 comment="TiTl2O3, relaxed, DFT PBE" e_form_raw_mev_per_atom=-1841 de_polymorph_mev_per_atom=65 pbc="T T T"
Ti 3.0361 3.0233 11.2292
Ti 3.0361 2.8664 4.4671
Ti 3.0361 -2.8664 9.0570
Ti 3.0361 -3.0233 2.2949
Tl 3.0361 5.1764 8.4525
Tl 3.0361 4.3326 0.9647
Tl 3.0361 1.5571 7.7268
Tl 3.0361 0.7133 1.6904
Tl 3.0361 -0.7133 11.8337
Tl 3.0361 -1.5571 5.7973
Tl 3.0361 -4.3326 12.5594
Tl 3.0361 -5.1764 5.0716
O 1.5180 2.7791 10.1431
O 3.0361 4.6859 11.9017
O 3.0361 4.0439 5.8387
O 3.0361 1.8458 12.6008
O 3.0361 1.2038 5.1396
O 1.5180 -2.7791 3.3810
O 4.5541 2.7791 10.1431
O 3.0361 -1.2038 8.3845
O 3.0361 -1.8458 0.9234
O 3.0361 -4.0439 7.6854
O 3.0361 -4.6859 1.6224
O 4.5541 -2.7791 3.3810


20
Lattice="0.0000 5.1666 5.1666 5.1666 0.0000 5.1666 5.1666 5.1666 0.0000" Properties=species:S:1:pos:R:3 comment="TiTlO3, relaxed, DFT PBE" e_form_raw_mev_per_atom=-1867 pbc="T T T"
Ti 0.0000 0.0000 0.0000
Ti 2.5833 2.5833 0.0000
Ti 2.5833 0.0000 2.5833
Ti 0.0000 2.5833 2.5833
Tl 5.1666 2.5833 2.5833
Tl 2.5833 5.1666 2.5833
Tl 2.5833 2.5833 5.1666
Tl 5.1666 5.1666 5.1666
O 3.8749 3.8749 0.7415
O 3.8749 0.7415 3.8749
O 7.0083 3.8749 3.8749
O 6.4582 6.4582 3.3248
O 6.4582 3.3248 6.4582
O 9.5916 6.4582 6.4582
O 0.7415 3.8749 3.8749
O 3.8749 7.0083 3.8749
O 3.8749 3.8749 7.0083
O 3.3248 6.4582 6.4582
O 6.4582 9.5916 6.4582
O 6.4582 6.4582 9.5916


12
Lattice="2.2609 -7.1256 0.0000 2.2609 7.1256 0.0000 0.0000 0.0000 5.8848" Properties=species:S:1:pos:R:3 comment="Ti4TlO, relaxed, DFT PBE" e_form_raw_mev_per_atom=-866 de_polymorph_mev_per_atom=0 pbc="T T T"
Ti 2.2609 7.0617 4.4136
Ti 2.2609 4.5143 1.4712
Ti 2.2609 1.4240 3.0284
Ti 2.2609 1.4240 5.7988
Ti 2.2609 -1.4240 0.0860
Ti 2.2609 -1.4240 2.8564
Ti 2.2609 -4.5143 4.4136
Ti 2.2609 -7.0617 1.4712
Tl 2.2609 4.2416 4.4136
Tl 2.2609 -4.2416 1.4712
O 2.2609 0.1130 1.4712
O 2.2609 -0.1130 4.4136


24
Lattice="12.8265 0.0000 0.0000 0.0000 3.8719 0.0000 0.0000 0.0000 9.9199" Properties=species:S:1:pos:R:3 comment="TiTl2O3, relaxed, DFT PBE" e_form_raw_mev_per_atom=-1906 de_polymorph_mev_per_atom=0 pbc="T T T"
Ti 1.2335 0.9680 0.2478
Ti 5.1797 2.9039 5.2077
Ti 7.6468 0.9680 4.7122
Ti 11.5930 2.9039 9.6721
Tl 1.3927 2.9039 3.4562
Tl 1.9395 2.9039 7.2216
Tl 4.4737 0.9680 2.2616
Tl 5.0205 0.9680 8.4162
Tl 7.8060 2.9039 1.5037
Tl 8.3528 2.9039 7.6583
Tl 10.8870 0.9680 2.6983
Tl 11.4338 0.9680 6.4637
O 0.7456 2.9039 0.2046
O 1.9982 0.9680 1.9057
O 2.4751 0.9680 8.8534
O 3.9381 2.9039 3.8934
O 4.4151 2.9039 6.8657
O 5.6677 0.9680 5.1646
O 7.1588 2.9039 4.7553
O 8.4115 0.9680 3.0542
O 8.8884 0.9680 6.0265
O 10.3514 2.9039 1.0665
O 10.8283 2.9039 8.0141
O 12.0809 0.9680 9.7152


10
Lattice="1.5492 -6.6251 0.0000 1.5492 6.6251 0.0000 0.0000 0.0000 7.8349" Properties=species:S:1:pos:R:3 comment="Ti3TlO, relaxed, DFT PBE" e_form_raw_mev_per_atom=-1017 pbc="T T T"
Ti 1.5492 5.9345 5.8762
Ti 1.5492 1.2773 4.4907
Ti 1.5492 1.2773 7.2617
Ti 1.5492 -1.2773 0.5733
Ti 1.5492 -1.2773 3.3442
Ti 1.5492 -5.9345 1.9587
Tl 1.5492 3.1335 1.9587
Tl 1.5492 -3.1335 5.8762
O 0.0000 0.0000 0.0000
O 0.0000 0.0000 3.9175


| no. | final energy (eV per cell) |
| --- | --- |
| 1 | -214.13 |
| 2 | -52.50 |
| 3 | -17.77 |
| 4 | -213.36 |
| 5 | -26.16 |
| 6 | -105.52 |
| 7 | -106.42 |
| 8 | -37.58 |
| 9 | -35.40 |
| 10 | -205.21 |
| 11 | -212.53 |
| 12 | -70.35 |
| 13 | -71.43 |
| 14 | -16.07 |
| 15 | -154.20 |
| 16 | -137.88 |
| 17 | -88.20 |
| 18 | -155.76 |
| 19 | -72.18 |